Ta2Ag (meta-GGA SCAN, PBEsol geometry); DOS(E_F) = 0.9939 states/eV/atom; volume = 52.11 Å³/cell; energy relative to the elements = 0.303 eV per atom; total DFT energy (no corrections) = -54.54 eV/atom; magnetization = 0.0 μB per cell
1.0
-1.021 1.923 -1.809
-1.580 -2.230 0.736
-2.833 3.906 5.753
Ag Ta
1 2
Direct
0.000 0.000 0.000
0.667 0.333 0.672
0.333 0.667 0.328


Ta3Ag (meta-GGA SCAN, PBEsol geometry); DOS(E_F) = 0.8418 states/eV/atom; volume = 69.42 Å³/cell; energy relative to the elements = 0.225 eV per atom; total DFT energy (no corrections) = -57.55 eV/atom; energy above the lowest structure with this stoichiometry = 7.4 meV/atom; magnetization = 0.0 μB per cell
1.0
-0.149 2.361 1.374
-3.129 1.618 -3.119
-3.969 -2.760 2.551
Ag Ta
1 3
Direct
0.000 0.000 0.000
0.252 0.500 0.739
0.500 0.000 0.500
0.748 0.500 0.261


TaAg2 (meta-GGA SCAN, PBEsol geometry); DOS(E_F) = 0.6064 states/eV/atom; volume = 64.76 Å³/cell; energy relative to the elements = 0.805 eV per atom; total DFT energy (no corrections) = -42.30 eV/atom; magnetization = 0.0 μB per cell
1.0
-1.617 1.062 -1.906
0.935 -3.806 -2.913
-3.810 -2.391 1.901
Ag Ta
2 1
Direct
0.500 0.000 0.500
0.500 0.500 0.000
0.000 0.000 0.000


TaTcAg (meta-GGA SCAN, PBEsol geometry); DOS(E_F) = 1.0265 states/eV/atom; volume = 48.11 Å³/cell; energy relative to the elements = 0.354 eV per atom; total DFT energy (no corrections) = -43.98 eV/atom; energy above the lowest structure with this stoichiometry = 0.0 meV/atom; magnetization = 0.0 μB per cell
1.0
-0.686 -2.493 0.992
2.330 0.314 -1.463
3.638 1.425 6.099
Ag Ta Tc
1 1 1
Direct
0.000 0.000 0.005
0.667 0.333 0.661
0.333 0.667 0.334


TaTcAg (meta-GGA SCAN, PBEsol geometry); DOS(E_F) = 0.8864 states/eV/atom; volume = 47.81 Å³/cell; energy relative to the elements = 0.358 eV per atom; total DFT energy (no corrections) = -43.98 eV/atom; energy above the lowest structure with this stoichiometry = 3.6 meV/atom; magnetization = 0.0 μB per cell
1.0
-2.458 -1.041 -0.366
0.880 -2.389 0.884
-0.838 3.392 5.896
Ag Ta Tc
1 1 1
Direct
0.997 0.997 0.995
0.669 0.669 0.337
0.334 0.334 0.668


Ta2AgTe (meta-GGA SCAN, PBEsol geometry); DOS(E_F) = 0.8295 states/eV/atom; volume = 82.09 Å³/cell; total DFT energy (no corrections) = -50.19 eV/atom; raw formation energy = 0.26 eV/atom; magnetization = 0.0 μB per cell
1.0
-1.722 -2.610 -0.902
0.557 -2.882 1.406
-6.506 0.041 6.428
Te Ag Ta
1 1 2
Direct
0.491 0.491 0.528
0.258 0.258 0.226
0.005 0.005 0.985
0.746 0.746 0.761


TaAg2Te (meta-GGA SCAN, PBEsol geometry); DOS(E_F) = 0.6901 states/eV/atom; volume = 74.78 Å³/cell; total DFT energy (no corrections) = -41.42 eV/atom; raw formation energy = 0.22 eV/atom; magnetization = 0.0 μB per cell
1.0
-1.583 -0.079 3.062
0.352 -3.429 0.093
5.552 0.648 2.886
Te Ag Ta
1 2 1
Direct
0.500 0.500 0.727
0.000 0.000 0.030
0.500 0.500 0.239
0.000 0.000 0.504


TaAg2Te (meta-GGA SCAN, PBEsol geometry); DOS(E_F) = 0.6283 states/eV/atom; volume = 76.33 Å³/cell; total DFT energy (no corrections) = -41.13 eV/atom; raw formation energy = 0.51 eV/atom; magnetization = 0.0 μB per cell
1.0
-1.129 2.456 -1.237
-3.957 -0.857 1.909
1.564 3.039 4.607
Te Ag Ta
1 2 1
Direct
0.500 0.500 0.500
0.000 0.000 0.770
0.000 0.000 0.230
0.500 0.500 0.000


TaAgTe (meta-GGA SCAN, PBEsol geometry); DOS(E_F) = 0.5727 states/eV/atom; volume = 63.53 Å³/cell; total DFT energy (no corrections) = -44.65 eV/atom; raw formation energy = 0.42 eV/atom; magnetization = 0.0 μB per cell
1.0
-1.837 0.688 -2.320
-1.637 -1.555 2.034
-0.073 6.609 3.407
Te Ag Ta
1 1 1
Direct
0.686 0.686 0.372
0.980 0.980 0.960
0.334 0.334 0.668


TaAg2Te (meta-GGA SCAN, PBEsol geometry); DOS(E_F) = 0.7789 states/eV/atom; volume = 74.39 Å³/cell; total DFT energy (no corrections) = -41.12 eV/atom; raw formation energy = 0.52 eV/atom; magnetization = 0.0 μB per cell
1.0
-0.609 -3.939 -0.524
0.072 -0.541 3.983
-4.548 0.679 0.174
Te Ag Ta
1 2 1
Direct
0.000 0.000 0.500
0.000 0.500 0.000
0.500 0.000 0.000
0.500 0.500 0.500


TaAg2Te (meta-GGA SCAN, PBEsol geometry); DOS(E_F) = 0.7289 states/eV/atom; volume = 74.63 Å³/cell; total DFT energy (no corrections) = -41.20 eV/atom; raw formation energy = 0.44 eV/atom; magnetization = 0.0 μB per cell
1.0
3.300 0.000 0.000
0.000 4.547 0.000
0.000 0.000 4.973
Te Ag Ta
1 2 1
Direct
0.000 0.500 0.500
0.000 0.000 0.000
0.500 0.500 0.000
0.500 0.000 0.500


TaAg2Te (meta-GGA SCAN, PBEsol geometry); DOS(E_F) = 0.6553 states/eV/atom; volume = 74.87 Å³/cell; total DFT energy (no corrections) = -41.22 eV/atom; raw formation energy = 0.42 eV/atom; magnetization = 0.0 μB per cell
1.0
-1.899 1.658 -2.003
-0.588 -3.778 -2.569
-2.781 -0.200 5.060
Te Ag Ta
1 2 1
Direct
0.000 0.500 0.000
0.751 0.751 0.502
0.249 0.249 0.498
0.500 0.000 0.000


TaAg2Te (meta-GGA SCAN, PBEsol geometry); DOS(E_F) = 0.5239 states/eV/atom; volume = 75.88 Å³/cell; total DFT energy (no corrections) = -41.18 eV/atom; raw formation energy = 0.46 eV/atom; magnetization = 0.0 μB per cell
1.0
-1.822 2.272 -0.347
-3.445 -3.184 -2.760
-0.517 0.411 5.403
Te Ag Ta
1 2 1
Direct
0.500 0.500 0.500
0.000 0.500 0.000
0.000 0.000 0.500
0.500 0.000 0.000


Ta2AgTe (meta-GGA SCAN, PBEsol geometry); DOS(E_F) = 0.7876 states/eV/atom; volume = 74.64 Å³/cell; total DFT energy (no corrections) = -49.94 eV/atom; raw formation energy = 0.51 eV/atom; magnetization = 0.0 μB per cell
1.0
3.055 0.000 0.000
1.527 2.646 0.000
1.527 0.882 9.235
Te Ag Ta
1 1 2
Direct
0.500 0.500 0.500
0.000 0.000 0.000
0.250 0.250 0.251
0.750 0.750 0.749


Ta3AgTe (meta-GGA SCAN, PBEsol geometry); DOS(E_F) = 1.3832 states/eV/atom; volume = 120.59 Å³/cell; total DFT energy (no corrections) = -51.66 eV/atom; raw formation energy = 2.02 eV/atom; magnetization = 0.0 μB per cell
1.0
4.940 0.000 0.000
0.000 4.940 0.000
0.000 0.000 4.940
Te Ag Ta
1 1 3
Direct
0.000 0.000 0.000
0.500 0.500 0.500
0.000 0.500 0.000
0.000 0.000 0.500
0.500 0.000 0.000


TaTiAg2Te (meta-GGA SCAN, PBEsol geometry); DOS(E_F) = 0.8818 states/eV/atom; volume = 113.34 Å³/cell; total DFT energy (no corrections) = -35.16 eV/atom; raw formation energy = 1.36 eV/atom; magnetization = 3.5 μB per cell
1.0
4.794 0.000 0.000
0.000 4.794 0.000
0.000 0.000 4.932
Te Ti Ag Ta
1 1 2 1
Direct
0.000 0.000 0.500
0.000 0.000 0.000
0.000 0.500 0.000
0.500 0.000 0.000
0.500 0.500 0.500